[1]
# Tc2BAuCl GGA-PBE relaxed
# energy relative to the elements, uncorrected: 8.6 eV per formula unit
# calculated total energy: -23.94 eV/f.u.
# calculated volume: 115 Å³ per cell
# symmetry: P4/mmm (123)
data_Tc2BAuCl
_chemical_formula_sum 'Tc2 B1 Au1 Cl1'
_space_group_name_H-M_alt 'P 1'
_space_group_IT_number 1
_space_group_name_Hall 'P 1'
_cell_length_a 5.3591
_cell_length_b 3.9982
_cell_length_c 5.3591
_cell_angle_alpha 90.00
_cell_angle_beta 90.00
_cell_angle_gamma 90.00
loop_
_atom_site_label
_atom_site_type_symbol
_atom_site_fract_x
_atom_site_fract_y
_atom_site_fract_z
B1 B 0.0000 0.5000 0.0000
Tc1 Tc 0.0000 0.0000 0.5000
Tc2 Tc 0.5000 0.0000 0.0000
Cl1 Cl 0.5000 0.5000 0.5000
Au1 Au 0.0000 0.0000 0.0000

---

[2]
# VBAuCl2 GGA-PBE relaxed
# energy relative to the elements, uncorrected: 3.2 eV per formula unit
# calculated total energy: -19.59 eV/f.u.
# calculated volume: 93 Å³ per cell
# symmetry: P4/mmm (123)
data_VBAuCl2
_chemical_formula_sum 'V1 B1 Au1 Cl2'
_space_group_name_H-M_alt 'P 1'
_space_group_IT_number 1
_space_group_name_Hall 'P 1'
_cell_length_a 4.5696
_cell_length_b 4.4686
_cell_length_c 4.5696
_cell_angle_alpha 90.00
_cell_angle_beta 90.00
_cell_angle_gamma 90.00
loop_
_atom_site_label
_atom_site_type_symbol
_atom_site_fract_x
_atom_site_fract_y
_atom_site_fract_z
Au1 Au 0.5000 0.5000 0.5000
B1 B 0.0000 0.5000 0.0000
Cl1 Cl 0.0000 0.0000 0.5000
Cl2 Cl 0.5000 0.0000 0.0000
V1 V 0.0000 0.0000 0.0000

---

[3]
# V2BAuCl GGA-PBE relaxed
# energy relative to the elements, uncorrected: 7.8 eV per formula unit
# calculated total energy: -22.19 eV/f.u.
# calculated volume: 88 Å³ per cell
# symmetry: P4/mmm (123)
data_V2BAuCl
_chemical_formula_sum 'V2 B1 Au1 Cl1'
_space_group_name_H-M_alt 'P 1'
_space_group_IT_number 1
_space_group_name_Hall 'P 1'
_cell_length_a 4.3203
_cell_length_b 4.7317
_cell_length_c 4.3203
_cell_angle_alpha 90.00
_cell_angle_beta 90.00
_cell_angle_gamma 90.00
loop_
_atom_site_label
_atom_site_type_symbol
_atom_site_fract_x
_atom_site_fract_y
_atom_site_fract_z
Au1 Au 0.0000 0.5000 0.0000
B1 B 0.5000 0.5000 0.5000
V1 V 0.5000 0.0000 0.0000
V2 V 0.0000 0.0000 0.5000
Cl1 Cl 0.0000 0.0000 0.0000

---

[4]
# ZnBAu2Cl GGA-PBE relaxed
# energy relative to the elements, uncorrected: 6.9 eV per formula unit
# calculated total energy: -9.44 eV/f.u.
# calculated volume: 100 Å³ per cell
# symmetry: P4/mmm (123)
data_ZnBAu2Cl
_chemical_formula_sum 'Zn1 B1 Au2 Cl1'
_space_group_name_H-M_alt 'P 1'
_space_group_IT_number 1
_space_group_name_Hall 'P 1'
_cell_length_a 5.1061
_cell_length_b 5.1061
_cell_length_c 3.8538
_cell_angle_alpha 90.00
_cell_angle_beta 90.00
_cell_angle_gamma 90.00
loop_
_atom_site_label
_atom_site_type_symbol
_atom_site_fract_x
_atom_site_fract_y
_atom_site_fract_z
B1 B 0.0000 0.0000 0.5000
Au1 Au 0.5000 0.0000 0.0000
Au2 Au 0.0000 0.5000 0.0000
Cl1 Cl 0.0000 0.0000 0.0000
Zn1 Zn 0.5000 0.5000 0.5000

---

[5]
# CoBAu3 GGA-PBE relaxed
# calculated total energy: -15.57 eV/f.u.
# polymorph energy (0 for the lowest one): 1022 meV per atom
# calculated volume: 110 Å³ per cell
# symmetry: Pm-3m (221)
data_CoBAu3
_chemical_formula_sum 'Co1 B1 Au3'
_space_group_name_H-M_alt 'P 1'
_space_group_IT_number 1
_space_group_name_Hall 'P 1'
_cell_length_a 4.7940
_cell_length_b 4.7940
_cell_length_c 4.7940
_cell_angle_alpha 90.00
_cell_angle_beta 90.00
_cell_angle_gamma 90.00
loop_
_atom_site_label
_atom_site_type_symbol
_atom_site_fract_x
_atom_site_fract_y
_atom_site_fract_z
B1 B 0.5000 0.5000 0.5000
Au1 Au 0.5000 0.0000 0.0000
Au2 Au 0.0000 0.0000 0.5000
Au3 Au 0.0000 0.5000 0.0000
Co1 Co 0.0000 0.0000 0.0000

---

[6]
# Co3BAu GGA-PBE relaxed
# calculated total energy: -30.56 eV/f.u.
# polymorph energy (0 for the lowest one): 0 meV per atom
# calculated volume: 58 Å³ per cell
# symmetry: Pm-3m (221)
data_Co3BAu
_chemical_formula_sum 'Co3 B1 Au1'
_space_group_name_H-M_alt 'P 1'
_space_group_IT_number 1
_space_group_name_Hall 'P 1'
_cell_length_a 3.8797
_cell_length_b 3.8797
_cell_length_c 3.8797
_cell_angle_alpha 90.00
_cell_angle_beta 90.00
_cell_angle_gamma 90.00
loop_
_atom_site_label
_atom_site_type_symbol
_atom_site_fract_x
_atom_site_fract_y
_atom_site_fract_z
Co1 Co 0.5000 0.0000 0.0000
Co2 Co 0.0000 0.5000 0.0000
Co3 Co 0.0000 0.0000 0.5000
Au1 Au 0.5000 0.5000 0.5000
B1 B 0.0000 0.0000 0.0000

---

[7]
# Co2BAu2 GGA-PBE relaxed
# calculated total energy: -21.25 eV/f.u.
# polymorph energy (0 for the lowest one): 965 meV per atom
# calculated volume: 82 Å³ per cell
# symmetry: I4/mmm (139)
data_Co2BAu2
_chemical_formula_sum 'Co2 B1 Au2'
_space_group_name_H-M_alt 'P 1'
_space_group_IT_number 1
_space_group_name_Hall 'P 1'
_cell_length_a 3.6701
_cell_length_b 3.6701
_cell_length_c 6.6204
_cell_angle_alpha 73.91
_cell_angle_beta 73.91
_cell_angle_gamma 90.00
loop_
_atom_site_label
_atom_site_type_symbol
_atom_site_fract_x
_atom_site_fract_y
_atom_site_fract_z
Au1 Au 0.7500 0.2500 0.5000
Au2 Au 0.2500 0.7500 0.5000
Co1 Co 0.5873 0.5873 0.8254
Co2 Co 0.4127 0.4127 0.1746
B1 B 0.0000 0.0000 0.0000

---

[8]
# Co2BAu GGA-PBE relaxed
# calculated total energy: -21.31 eV/f.u.
# calculated volume: 113 Å³ per cell
# symmetry: I-42d (122)
data_Co2BAu
_chemical_formula_sum 'Co4 B2 Au2'
_space_group_name_H-M_alt 'P 1'
_space_group_IT_number 1
_space_group_name_Hall 'P 1'
_cell_length_a 4.1424
_cell_length_b 4.1424
_cell_length_c 7.1874
_cell_angle_alpha 73.25
_cell_angle_beta 73.25
_cell_angle_gamma 90.00
loop_
_atom_site_label
_atom_site_type_symbol
_atom_site_fract_x
_atom_site_fract_y
_atom_site_fract_z
Co1 Co 0.3750 0.5202 0.7500
Co2 Co 0.2702 0.6250 0.2500
Co3 Co 0.8750 0.7298 0.7500
Co4 Co 0.4798 0.1250 0.2500
Au1 Au 0.7500 0.2500 0.5000
Au2 Au 0.0000 0.0000 0.0000
B1 B 0.5000 0.5000 0.0000
B2 B 0.2500 0.7500 0.5000

---

Question: Look up the calculated total energy of the seventh one.
Answer: -21.25 eV/f.u.